## Mg2AlTc (PBE)

Data for Mg2AlTc after structural relaxation.

- Energy of formation from the pure elements: 0.17 eV/atom
- Size of the total moment: 0.00 μB/f.u.
- E_tot: -4.16 eV/atom
- Density of states at the Fermi level: 2.66 states/eV/cell

Lattice parameters (Å, degrees): 2.7932 2.7932 9.1462 90.00 90.00 104.45
Fractional coordinates of all 4 atoms:
Mg  0.0000  0.0000  0.0133
Mg  0.0000  0.0000  0.4867
Al  0.5000  0.5000  0.7500
Tc  0.5000  0.5000  0.2500